[1]
Zr2CrTc at its PBEsol-relaxed geometry, computed with meta-GGA SCAN.

Output
Energy relative to the elements: -225 meV/atom

```
Zr2CrTc
1.0
3.244 0.000 0.000
0.000 3.244 0.000
0.000 0.000 6.471
Cr Zr Tc
1 2 1
direct
0.500 0.500 0.000
0.000 0.000 0.746
0.000 0.000 0.254
0.500 0.500 0.500
```



[2]
Cr2Te3 at its PBEsol-relaxed geometry, computed with meta-GGA SCAN.

Output
Formation energy from raw total energies: -38 kJ per mole of atoms

```
Cr2Te3
1.0
3.817 0.000 0.000
1.909 3.306 0.000
1.909 1.102 9.371
Cr Te
2 3
direct
0.605 0.605 0.186
0.395 0.395 0.814
0.219 0.219 0.343
0.000 0.000 0.000
0.781 0.781 0.657
```



| no. | density of states at the Fermi level (states/eV/atom) |
| --- | --- |
| 1 | 0.657 |
| 2 | 0.485 |